Material: Er2SnRh
Method: DFT, PBE-GGA
State: optimized geometry

Results
Space-group type: No. 11
M_tot, μB/cell: 0.00
E_form, eV/atom: -0.80
Crystal system: monoclinic
ρ, g/cm³: 9.5
DOS at the Fermi energy, states/eV/cell: 3.925

Geometry as POSCAR:
```
Er2SnRh
1.0
6.222 0.000 0.000
0.000 3.857 0.000
-2.805 0.000 8.135
Er Sn Rh
4 2 2
Direct
0.169 0.250 0.390
0.251 0.750 0.046
0.749 0.250 0.954
0.831 0.750 0.610
0.378 0.750 0.703
0.622 0.250 0.297
0.118 0.250 0.797
0.882 0.750 0.203
```